1.
The following is a GGA-PBE calculation of Li3TmPa2N6 after structural relaxation, from Alexandria.

As for the total energy: -7.640 eV per atom. As for the crystal system: monoclinic. Its magnetization is 0.00 μB/f.u. As for the formation energy from raw total energies: -101 kJ per mole of atoms.

The structure belongs to space group C2/m (No. 12); the cell edges are 6.026, 10.428 and 5.396 Å and the angles 90.00°, 112.12° and 90.00°. The inequivalent atoms are Li at (0.000, 0.000, 0.000), Li at (0.000, 0.334, 0.000), Tm at (0.000, 0.500, 0.500), Pa at (0.000, 0.167, 0.500), N at (0.231, 0.000, 0.724) and N at (0.247, 0.328, 0.722).

---

2.
The following is a GGA-PBE calculation of Ce6HOs2Br3 after structural relaxation, from Alexandria.

As for the total energy: -6.265 eV per atom. As for the crystal system: monoclinic. Its magnetization is 5.97 μB/f.u.

The structure belongs to space group C2/m (No. 12); the cell edges are 6.845, 11.853 and 8.047 Å and the angles 90.00°, 106.51° and 90.00°. The inequivalent atoms are Ce at (0.230, 0.164, 0.198), Ce at (0.239, 0.500, 0.201), H at (0.000, 0.000, 0.000), Os at (0.000, 0.334, 0.000), Br at (0.000, 0.172, 0.500) and Br at (0.000, 0.500, 0.500).

---

3.
The following is a GGA-PBE calculation of CaDySc after structural relaxation, from Alexandria.

The value obtained for the formation energy is 0.135 eV per atom. As for the total energy: -4.177 eV per atom. As for the crystal system: trigonal. Its magnetization is 0.00 μB/f.u.

The structure belongs to space group P3m1 (No. 156); the cell edges are 3.5238, 3.5238 and 8.7784 Å and the angles 90.00°, 90.00° and 120.00°. The inequivalent atoms are Ca at (0.0000, 0.0000, 0.0000), Dy at (0.3333, 0.6667, 0.6343) and Sc at (0.6667, 0.3333, 0.3382).

---

4.
The following is a GGA-PBE calculation of DyNp2In3Te6 after structural relaxation, from Alexandria.

As for the total energy: -5.430 eV per atom. As for the crystal system: monoclinic. Its magnetization is 8.01 μB/f.u. As for the formation energy from raw total energies: -61 kJ per mole of atoms.

The structure belongs to space group C2/m (No. 12); the cell edges are 7.675, 13.295 and 8.533 Å and the angles 90.00°, 107.45° and 90.00°. The inequivalent atoms are Dy at (0.000, 0.000, 0.000), Np at (0.000, 0.333, 0.000), In at (0.000, 0.167, 0.500), In at (0.000, 0.500, 0.500), Te at (0.239, 0.166, 0.220) and Te at (0.242, 0.500, 0.220).

---

5.
The following is a GGA-PBE calculation of Y2Cd2In after structural relaxation, from Alexandria.

The value obtained for the formation energy is -0.341 eV per atom. As for the total energy: -3.840 eV per atom. As for the crystal system: tetragonal. Its magnetization is 0.00 μB/f.u.

The structure belongs to space group P4/mbm (No. 127); the cell edges are 7.592, 7.592 and 4.555 Å and the angles 90.00°, 90.00° and 90.00°. The inequivalent atoms are Y at (0.169, 0.331, 0.000), Cd at (0.131, 0.631, 0.500) and In at (0.000, 0.000, 0.500).